# 1
{
  "formula": "SmGaRh4",
  "functional": "PBE",
  "state": "relaxed",
  "n_ef_per_ev_atom": 1.296,
  "formation_energy_ev_per_atom": -0.42,
  "relative_energy_ev_per_atom": 0.0000,
  "lattice": [[0.000, 3.721, 3.721], [3.721, 0.000, 3.721], [3.721, 3.721, 0.000]],
  "species": ["Sm", "Ga", "Rh", "Rh", "Rh", "Rh"],
  "fractional_positions": [[0.000, 0.000, 0.000], [0.750, 0.750, 0.750], [0.376, 0.376, 0.376], [0.376, 0.376, 0.872], [0.376, 0.872, 0.376], [0.872, 0.376, 0.376]]
}


# 2
{
  "formula": "Sm2Ga2SnRh5",
  "functional": "PBE",
  "state": "relaxed",
  "n_ef_per_ev_atom": 0.262,
  "formation_energy_ev_per_atom": -0.79,
  "lattice": [[9.911, 0.000, 0.000], [0.000, 9.911, 0.000], [0.000, 0.000, 3.621]],
  "species": ["Sm", "Sm", "Sm", "Sm", "Ga", "Ga", "Ga", "Ga", "Sn", "Sn", "Rh", "Rh", "Rh", "Rh", "Rh", "Rh", "Rh", "Rh", "Rh", "Rh"],
  "fractional_positions": [[0.175, 0.325, 0.000], [0.325, 0.825, 0.000], [0.675, 0.175, 0.000], [0.825, 0.675, 0.000], [0.122, 0.622, 0.000], [0.378, 0.122, 0.000], [0.622, 0.878, 0.000], [0.878, 0.378, 0.000], [0.000, 0.000, 0.000], [0.500, 0.500, 0.000], [0.000, 0.500, 0.500], [0.068, 0.792, 0.500], [0.208, 0.068, 0.500], [0.292, 0.568, 0.500], [0.432, 0.292, 0.500], [0.500, 0.000, 0.500], [0.568, 0.708, 0.500], [0.708, 0.432, 0.500], [0.792, 0.932, 0.500], [0.932, 0.208, 0.500]]
}


# 3
{
  "formula": "TbSmGa2Rh2",
  "functional": "PBE",
  "state": "relaxed",
  "n_ef_per_ev_atom": 0.829,
  "formation_energy_ev_per_atom": -0.80,
  "lattice": [[4.402, 0.000, 0.000], [-2.201, 3.812, 0.000], [0.000, 0.000, 7.243]],
  "species": ["Tb", "Sm", "Ga", "Ga", "Rh", "Rh"],
  "fractional_positions": [[0.000, 0.000, 0.000], [0.000, 0.000, 0.500], [0.333, 0.667, 0.759], [0.667, 0.333, 0.241], [0.333, 0.667, 0.236], [0.667, 0.333, 0.764]]
}


# 4
{
  "formula": "Tb2Sm2GaRh4",
  "functional": "PBE",
  "state": "relaxed",
  "n_ef_per_ev_atom": 0.755,
  "formation_energy_ev_per_atom": -0.45,
  "lattice": [[-3.328, 3.328, 4.399], [3.328, -3.328, 4.399], [3.328, 3.328, -4.399]],
  "species": ["Tb", "Tb", "Sm", "Sm", "Ga", "Rh", "Rh", "Rh", "Rh"],
  "fractional_positions": [[0.250, 0.750, 0.500], [0.750, 0.250, 0.500], [0.185, 0.185, 0.000], [0.815, 0.815, 0.000], [0.500, 0.500, 0.000], [0.242, 0.242, 0.485], [0.242, 0.758, 0.000], [0.758, 0.242, 0.000], [0.758, 0.758, 0.515]]
}


# 5
{
  "formula": "TbSmGaRh",
  "functional": "PBE",
  "state": "relaxed",
  "n_ef_per_ev_atom": 0.849,
  "formation_energy_ev_per_atom": -0.62,
  "relative_energy_ev_per_atom": 0.0821,
  "lattice": [[7.109, 0.000, 0.000], [0.000, 7.109, 0.000], [0.000, 0.000, 7.109]],
  "species": ["Tb", "Tb", "Tb", "Tb", "Sm", "Sm", "Sm", "Sm", "Ga", "Ga", "Ga", "Ga", "Rh", "Rh", "Rh", "Rh"],
  "fractional_positions": [[0.000, 0.000, 0.000], [0.000, 0.500, 0.500], [0.500, 0.000, 0.500], [0.500, 0.500, 0.000], [0.000, 0.000, 0.500], [0.000, 0.500, 0.000], [0.500, 0.000, 0.000], [0.500, 0.500, 0.500], [0.250, 0.250, 0.750], [0.250, 0.750, 0.250], [0.750, 0.250, 0.250], [0.750, 0.750, 0.750], [0.250, 0.250, 0.250], [0.250, 0.750, 0.750], [0.750, 0.250, 0.750], [0.750, 0.750, 0.250]]
}


# 6
{
  "formula": "TbSmGaRh",
  "functional": "PBE",
  "state": "relaxed",
  "n_ef_per_ev_atom": 0.815,
  "formation_energy_ev_per_atom": -0.70,
  "relative_energy_ev_per_atom": 0.0000,
  "lattice": [[3.959, 0.000, 0.000], [0.000, 4.304, 0.000], [0.000, 0.000, 10.991]],
  "species": ["Tb", "Tb", "Sm", "Sm", "Ga", "Ga", "Rh", "Rh"],
  "fractional_positions": [[0.000, 0.000, 0.000], [0.000, 0.500, 0.500], [0.500, 0.000, 0.714], [0.500, 0.500, 0.214], [0.000, 0.000, 0.297], [0.000, 0.500, 0.797], [0.500, 0.000, 0.451], [0.500, 0.500, 0.951]]
}


# 7
{
  "formula": "SmThGaRh",
  "functional": "PBE",
  "state": "relaxed",
  "n_ef_per_ev_atom": 0.727,
  "formation_energy_ev_per_atom": -0.74,
  "relative_energy_ev_per_atom": 0.0000,
  "lattice": [[3.926, 0.000, 0.000], [0.000, 4.216, 0.000], [0.000, 0.000, 11.723]],
  "species": ["Sm", "Sm", "Th", "Th", "Ga", "Ga", "Rh", "Rh"],
  "fractional_positions": [[0.000, 0.000, 0.000], [0.000, 0.500, 0.500], [0.500, 0.000, 0.277], [0.500, 0.500, 0.777], [0.500, 0.000, 0.575], [0.500, 0.500, 0.075], [0.000, 0.000, 0.740], [0.000, 0.500, 0.240]]
}


# 8
{
  "formula": "SmThGaRh",
  "functional": "PBE",
  "state": "relaxed",
  "n_ef_per_ev_atom": 0.992,
  "formation_energy_ev_per_atom": -0.52,
  "relative_energy_ev_per_atom": 0.2195,
  "lattice": [[7.226, 0.000, 0.000], [0.000, 7.226, 0.000], [0.000, 0.000, 7.226]],
  "species": ["Sm", "Sm", "Sm", "Sm", "Th", "Th", "Th", "Th", "Ga", "Ga", "Ga", "Ga", "Rh", "Rh", "Rh", "Rh"],
  "fractional_positions": [[0.000, 0.000, 0.000], [0.000, 0.500, 0.500], [0.500, 0.000, 0.500], [0.500, 0.500, 0.000], [0.000, 0.000, 0.500], [0.000, 0.500, 0.000], [0.500, 0.000, 0.000], [0.500, 0.500, 0.500], [0.250, 0.250, 0.750], [0.250, 0.750, 0.250], [0.750, 0.250, 0.250], [0.750, 0.750, 0.750], [0.250, 0.250, 0.250], [0.250, 0.750, 0.750], [0.750, 0.250, 0.750], [0.750, 0.750, 0.250]]
}


# 9
{
  "formula": "SmThGa2Rh5",
  "functional": "PBE",
  "state": "relaxed",
  "n_ef_per_ev_atom": 0.217,
  "formation_energy_ev_per_atom": -0.67,
  "lattice": [[4.510, 0.000, 0.000], [0.000, 4.510, 0.000], [0.000, 0.000, 8.042]],
  "species": ["Sm", "Th", "Ga", "Ga", "Rh", "Rh", "Rh", "Rh", "Rh"],
  "fractional_positions": [[0.000, 0.000, 0.000], [0.000, 0.000, 0.500], [0.500, 0.500, 0.341], [0.500, 0.500, 0.659], [0.000, 0.500, 0.238], [0.000, 0.500, 0.762], [0.500, 0.000, 0.238], [0.500, 0.000, 0.762], [0.500, 0.500, 0.000]]
}


# 10
{
  "formula": "Sm2TmGa2Rh5",
  "functional": "PBE",
  "state": "relaxed",
  "n_ef_per_ev_atom": 0.516,
  "formation_energy_ev_per_atom": -0.82,
  "lattice": [[10.109, 0.000, 0.000], [0.000, 10.109, 0.000], [0.000, 0.000, 3.597]],
  "species": ["Sm", "Sm", "Sm", "Sm", "Tm", "Tm", "Ga", "Ga", "Ga", "Ga", "Rh", "Rh", "Rh", "Rh", "Rh", "Rh", "Rh", "Rh", "Rh", "Rh"],
  "fractional_positions": [[0.174, 0.326, 0.000], [0.326, 0.826, 0.000], [0.674, 0.174, 0.000], [0.826, 0.674, 0.000], [0.000, 0.000, 0.000], [0.500, 0.500, 0.000], [0.123, 0.623, 0.000], [0.377, 0.123, 0.000], [0.623, 0.877, 0.000], [0.877, 0.377, 0.000], [0.000, 0.500, 0.500], [0.070, 0.788, 0.500], [0.212, 0.070, 0.500], [0.288, 0.570, 0.500], [0.430, 0.288, 0.500], [0.500, 0.000, 0.500], [0.570, 0.712, 0.500], [0.712, 0.430, 0.500], [0.788, 0.930, 0.500], [0.930, 0.212, 0.500]]
}


# 11
{
  "formula": "SmTmGa2Rh2",
  "functional": "PBE",
  "state": "relaxed",
  "n_ef_per_ev_atom": 0.664,
  "formation_energy_ev_per_atom": -0.82,
  "lattice": [[4.408, 0.000, 0.000], [-2.204, 3.817, 0.000], [0.000, 0.000, 7.060]],
  "species": ["Sm", "Tm", "Ga", "Ga", "Rh", "Rh"],
  "fractional_positions": [[0.000, 0.000, 0.000], [0.000, 0.000, 0.500], [0.333, 0.667, 0.270], [0.667, 0.333, 0.730], [0.333, 0.667, 0.717], [0.667, 0.333, 0.283]]
}


# 12
{
  "formula": "Sm2TmGa3Rh4",
  "functional": "PBE",
  "state": "relaxed",
  "n_ef_per_ev_atom": 0.598,
  "formation_energy_ev_per_atom": -0.80,
  "lattice": [[4.259, 0.000, 0.000], [0.000, 4.259, 0.000], [0.000, 0.000, 10.857]],
  "species": ["Sm", "Sm", "Tm", "Ga", "Ga", "Ga", "Rh", "Rh", "Rh", "Rh"],
  "fractional_positions": [[0.000, 0.500, 0.221], [0.500, 0.000, 0.779], [0.000, 0.000, 0.500], [0.000, 0.500, 0.881], [0.500, 0.000, 0.119], [0.500, 0.500, 0.500], [0.000, 0.000, 0.000], [0.000, 0.500, 0.652], [0.500, 0.000, 0.348], [0.500, 0.500, 0.000]]
}